Below is Ni2AgAs after structural relaxation, with properties calculated at the GGA-PBEsol level.

Values from the calculation:
- formation energy (eV per atom) = 0.03

Cell and atoms, written as CIF:
```
data_Ni2AgAs
_chemical_formula_sum 'Ni2 Ag1 As1'
_cell_length_a 2.870
_cell_length_b 4.108
_cell_length_c 4.491
_cell_angle_alpha 90.00
_cell_angle_beta 90.00
_cell_angle_gamma 90.00
_symmetry_space_group_name_H-M 'P 1'
_symmetry_Int_Tables_number 1
_symmetry_space_group_name_Hall 'P 1'
loop_
_atom_site_label
_atom_site_fract_x
_atom_site_fract_y
_atom_site_fract_z
Ni1 0.000 0.000 0.000
Ni2 0.000 0.500 0.333
Ag1 0.500 0.000 0.500
As1 0.500 0.500 0.917
```

---

Below is Ni2AgAs after structural relaxation, with properties calculated at the GGA-PBEsol level.

Values from the calculation:
- formation energy (eV per atom) = 0.11

Cell and atoms, written as CIF:
```
data_Ni2AgAs
_chemical_formula_sum 'Ni2 Ag1 As1'
_cell_length_a 4.725
_cell_length_b 4.725
_cell_length_c 4.725
_cell_angle_alpha 134.70
_cell_angle_beta 134.70
_cell_angle_gamma 66.00
_symmetry_space_group_name_H-M 'P 1'
_symmetry_Int_Tables_number 1
_symmetry_space_group_name_Hall 'P 1'
loop_
_atom_site_label
_atom_site_fract_x
_atom_site_fract_y
_atom_site_fract_z
Ni1 0.000 0.000 0.000
Ni2 0.750 0.250 0.500
Ag1 0.500 0.500 0.000
As1 0.250 0.750 0.500
```

---

Below is NiAgAs2Se after structural relaxation, with properties calculated at the GGA-PBEsol level.

Values from the calculation:
- formation energy without anion corrections (eV/atom) = 1.278

Cell and atoms, written as CIF:
```
data_NiAgAs2Se
_chemical_formula_sum 'Ni1 Ag1 As2 Se1'
_cell_length_a 4.841
_cell_length_b 4.841
_cell_length_c 4.967
_cell_angle_alpha 90.00
_cell_angle_beta 90.00
_cell_angle_gamma 90.00
_symmetry_space_group_name_H-M 'P 1'
_symmetry_Int_Tables_number 1
_symmetry_space_group_name_Hall 'P 1'
loop_
_atom_site_label
_atom_site_fract_x
_atom_site_fract_y
_atom_site_fract_z
Ni1 0.000 0.000 0.000
Ag1 0.500 0.500 0.500
As1 0.000 0.500 0.500
As2 0.500 0.000 0.500
Se1 0.500 0.500 0.000
```

---

Below is AgAsO2 after structural relaxation, with properties calculated at the GGA-PBEsol level.

Values from the calculation:
- formation energy without anion corrections (eV/atom) = -0.772

Cell and atoms, written as CIF:
```
data_AgAsO2
_chemical_formula_sum 'Ag2 As2 O4'
_cell_length_a 5.135
_cell_length_b 5.135
_cell_length_c 6.697
_cell_angle_alpha 108.05
_cell_angle_beta 108.05
_cell_angle_gamma 51.37
_symmetry_space_group_name_H-M 'P 1'
_symmetry_Int_Tables_number 1
_symmetry_space_group_name_Hall 'P 1'
loop_
_atom_site_label
_atom_site_fract_x
_atom_site_fract_y
_atom_site_fract_z
Ag1 0.115 0.115 0.330
Ag2 0.885 0.885 0.670
As1 0.217 0.109 0.831
As2 0.891 0.783 0.169
O1 0.238 0.340 0.101
O2 0.279 0.276 0.676
O3 0.660 0.762 0.899
O4 0.724 0.721 0.324
```

---

Below is AgAsO3 after structural relaxation, with properties calculated at the GGA-PBEsol level.

Values from the calculation:
- formation energy without anion corrections (eV/atom) = -0.773

Cell and atoms, written as CIF:
```
data_AgAsO3
_chemical_formula_sum 'Ag4 As4 O12'
_cell_length_a 7.569
_cell_length_b 7.569
_cell_length_c 5.161
_cell_angle_alpha 100.02
_cell_angle_beta 100.02
_cell_angle_gamma 87.24
_symmetry_space_group_name_H-M 'P 1'
_symmetry_Int_Tables_number 1
_symmetry_space_group_name_Hall 'P 1'
loop_
_atom_site_label
_atom_site_fract_x
_atom_site_fract_y
_atom_site_fract_z
Ag1 0.101 0.899 0.750
Ag2 0.268 0.732 0.250
Ag3 0.732 0.268 0.750
Ag4 0.899 0.101 0.250
As1 0.201 0.378 0.746
As2 0.378 0.201 0.246
As3 0.622 0.799 0.754
As4 0.799 0.622 0.254
O1 0.049 0.214 0.670
O2 0.141 0.590 0.856
O3 0.214 0.049 0.170
O4 0.311 0.393 0.470
O5 0.393 0.311 0.970
O6 0.410 0.859 0.644
O7 0.590 0.141 0.356
O8 0.607 0.689 0.030
O9 0.689 0.607 0.530
O10 0.786 0.951 0.830
O11 0.859 0.410 0.144
O12 0.951 0.786 0.330
```

---

Below is AgAsO3 after structural relaxation, with properties calculated at the GGA-PBEsol level.

Values from the calculation:
- formation energy without anion corrections (eV/atom) = -0.876

Cell and atoms, written as CIF:
```
data_AgAsO3
_chemical_formula_sum 'Ag2 As2 O6'
_cell_length_a 6.323
_cell_length_b 6.323
_cell_length_c 6.323
_cell_angle_alpha 45.94
_cell_angle_beta 45.94
_cell_angle_gamma 45.94
_symmetry_space_group_name_H-M 'P 1'
_symmetry_Int_Tables_number 1
_symmetry_space_group_name_Hall 'P 1'
loop_
_atom_site_label
_atom_site_fract_x
_atom_site_fract_y
_atom_site_fract_z
Ag1 0.144 0.144 0.144
Ag2 0.856 0.856 0.856
As1 0.336 0.336 0.336
As2 0.664 0.664 0.664
O1 0.058 0.448 0.681
O2 0.319 0.942 0.552
O3 0.448 0.681 0.058
O4 0.552 0.319 0.942
O5 0.681 0.058 0.448
O6 0.942 0.552 0.319
```

---

Below is Ag3AsO4 after structural relaxation, with properties calculated at the GGA-PBEsol level.

Values from the calculation:
- formation energy without anion corrections (eV/atom) = -0.568

Cell and atoms, written as CIF:
```
data_Ag3AsO4
_chemical_formula_sum 'Ag6 As2 O8'
_cell_length_a 6.100
_cell_length_b 6.100
_cell_length_c 6.100
_cell_angle_alpha 90.84
_cell_angle_beta 90.84
_cell_angle_gamma 90.84
_symmetry_space_group_name_H-M 'P 1'
_symmetry_Int_Tables_number 1
_symmetry_space_group_name_Hall 'P 1'
loop_
_atom_site_label
_atom_site_fract_x
_atom_site_fract_y
_atom_site_fract_z
Ag1 0.036 0.235 0.729
Ag2 0.229 0.735 0.536
Ag3 0.235 0.729 0.036
Ag4 0.536 0.229 0.735
Ag5 0.729 0.036 0.235
Ag6 0.735 0.536 0.229
As1 0.236 0.236 0.236
As2 0.736 0.736 0.736
O1 0.056 0.085 0.394
O2 0.085 0.394 0.056
O3 0.394 0.056 0.085
O4 0.400 0.400 0.400
O5 0.556 0.894 0.585
O6 0.585 0.556 0.894
O7 0.894 0.585 0.556
O8 0.900 0.900 0.900
```

---

Below is Ag2As2O7 after structural relaxation, with properties calculated at the GGA-PBEsol level.

Values from the calculation:
- formation energy without anion corrections (eV/atom) = -0.685

Cell and atoms, written as CIF:
```
data_Ag2As2O7
_chemical_formula_sum 'Ag8 As8 O28'
_cell_length_a 6.200
_cell_length_b 13.056
_cell_length_c 8.003
_cell_angle_alpha 90.00
_cell_angle_beta 120.63
_cell_angle_gamma 90.00
_symmetry_space_group_name_H-M 'P 1'
_symmetry_Int_Tables_number 1
_symmetry_space_group_name_Hall 'P 1'
loop_
_atom_site_label
_atom_site_fract_x
_atom_site_fract_y
_atom_site_fract_z
Ag1 0.071 0.028 0.331
Ag2 0.071 0.472 0.831
Ag3 0.166 0.739 0.081
Ag4 0.166 0.761 0.581
Ag5 0.834 0.239 0.419
Ag6 0.834 0.261 0.919
Ag7 0.929 0.528 0.169
Ag8 0.929 0.972 0.669
As1 0.345 0.203 0.932
As2 0.345 0.297 0.432
As3 0.496 0.506 0.316
As4 0.496 0.994 0.816
As5 0.504 0.006 0.184
As6 0.504 0.494 0.684
As7 0.655 0.703 0.568
As8 0.655 0.797 0.068
O1 0.085 0.221 0.321
O2 0.085 0.279 0.821
O3 0.210 0.557 0.096
O4 0.210 0.943 0.596
O5 0.308 0.548 0.435
O6 0.308 0.952 0.935
O7 0.316 0.123 0.746
O8 0.316 0.377 0.246
O9 0.326 0.540 0.779
O10 0.326 0.960 0.279
O11 0.327 0.132 0.110
O12 0.327 0.368 0.610
O13 0.385 0.729 0.957
O14 0.385 0.771 0.457
O15 0.615 0.229 0.543
O16 0.615 0.271 0.043
O17 0.673 0.632 0.390
O18 0.673 0.868 0.890
O19 0.674 0.040 0.721
O20 0.674 0.460 0.221
O21 0.684 0.623 0.754
O22 0.684 0.877 0.254
O23 0.692 0.048 0.065
O24 0.692 0.452 0.565
O25 0.790 0.057 0.404
O26 0.790 0.443 0.904
O27 0.915 0.721 0.179
O28 0.915 0.779 0.679
```

---

Below is VAg2AsO6 after structural relaxation, with properties calculated at the GGA-PBEsol level.

Values from the calculation:
- formation energy without anion corrections (eV/atom) = -1.231

Cell and atoms, written as CIF:
```
data_VAg2AsO6
_chemical_formula_sum 'V2 Ag4 As2 O12'
_cell_length_a 6.304
_cell_length_b 6.425
_cell_length_c 7.195
_cell_angle_alpha 116.47
_cell_angle_beta 93.00
_cell_angle_gamma 91.30
_symmetry_space_group_name_H-M 'P 1'
_symmetry_Int_Tables_number 1
_symmetry_space_group_name_Hall 'P 1'
loop_
_atom_site_label
_atom_site_fract_x
_atom_site_fract_y
_atom_site_fract_z
V1 0.072 0.116 0.229
V2 0.928 0.884 0.771
Ag1 0.389 0.581 0.695
Ag2 0.426 0.161 0.884
Ag3 0.574 0.839 0.116
Ag4 0.611 0.419 0.305
As1 0.151 0.663 0.313
As2 0.849 0.337 0.687
O1 0.000 0.408 0.230
O2 0.000 0.592 0.770
O3 0.004 0.175 0.770
O4 0.196 0.793 0.580
O5 0.204 0.005 0.003
O6 0.263 0.211 0.413
O7 0.389 0.610 0.200
O8 0.611 0.390 0.800
O9 0.737 0.789 0.587
O10 0.796 0.995 0.997
O11 0.804 0.207 0.420
O12 0.996 0.825 0.230
```

---

Below is Zn3AgAs3O12 after structural relaxation, with properties calculated at the GGA-PBEsol level.

Values from the calculation:
- formation energy without anion corrections (eV/atom) = -1.039

Cell and atoms, written as CIF:
```
data_Zn3AgAs3O12
_chemical_formula_sum 'Zn6 Ag2 As6 O24'
_cell_length_a 8.590
_cell_length_b 8.590
_cell_length_c 6.826
_cell_angle_alpha 105.11
_cell_angle_beta 105.11
_cell_angle_gamma 95.22
_symmetry_space_group_name_H-M 'P 1'
_symmetry_Int_Tables_number 1
_symmetry_space_group_name_Hall 'P 1'
loop_
_atom_site_label
_atom_site_fract_x
_atom_site_fract_y
_atom_site_fract_z
Zn1 0.129 0.456 0.882
Zn2 0.214 0.786 0.750
Zn3 0.456 0.129 0.382
Zn4 0.544 0.871 0.618
Zn5 0.786 0.214 0.250
Zn6 0.871 0.544 0.118
Ag1 0.499 0.501 0.250
Ag2 0.501 0.499 0.750
As1 0.157 0.392 0.387
As2 0.191 0.809 0.250
As3 0.392 0.157 0.887
As4 0.608 0.843 0.113
As5 0.809 0.191 0.750
As6 0.843 0.608 0.613
O1 0.010 0.233 0.766
O2 0.029 0.218 0.339
O3 0.111 0.479 0.186
O4 0.176 0.525 0.633
O5 0.218 0.029 0.839
O6 0.230 0.696 0.020
O7 0.233 0.010 0.266
O8 0.304 0.770 0.480
O9 0.369 0.370 0.423
O10 0.370 0.369 0.923
O11 0.475 0.824 0.867
O12 0.479 0.111 0.686
O13 0.521 0.889 0.314
O14 0.525 0.176 0.133
O15 0.630 0.631 0.077
O16 0.631 0.630 0.577
O17 0.696 0.230 0.520
O18 0.767 0.990 0.734
O19 0.770 0.304 0.980
O20 0.782 0.971 0.161
O21 0.824 0.475 0.367
O22 0.889 0.521 0.814
O23 0.971 0.782 0.661
O24 0.990 0.767 0.234
```

---

Going through the records in order, we get ρ values of 9.4 9.5 5.6 5.5 5.3 6.4 6.8 5.7 5.6 5.2 g/cm3.